No. 1
First-principles (GGA-PBE) data for an optimized crystal structure of Nd2Sn, as listed in Alexandria.

Calculated values
volume	178	Å³/cell
magnetization	0.00	μB per cell
E_form	-0.496	eV/atom
density	7.587	g cm⁻³
calculated total energy	-15.03	eV per formula unit

Unit cell a=4.207 b=4.218 c=10.044 alpha=90.00 beta=90.00 gamma=90.00
Space group Immm (No. 71)
One atom of each set of equivalent atoms:
1 Nd 0.000 0.000 0.155
2 Sn 0.000 0.000 0.500

***

No. 2
First-principles (GGA-PBE) data for an optimized crystal structure of Nd3Sn, as listed in Alexandria.

Calculated values
volume	125	Å³/cell
magnetization	0.00	μB per cell
E_form	-0.319	eV/atom
density	7.336	g cm⁻³
calculated total energy	-19.58	eV per formula unit

Unit cell a=3.634 b=5.598 c=6.136 alpha=90.00 beta=90.00 gamma=90.00
Space group Pmm2 (No. 25)
One atom of each set of equivalent atoms:
1 Nd 0.000 0.000 0.000
2 Nd 0.000 0.500 0.376
3 Nd 0.500 0.000 0.537
4 Sn 0.500 0.500 0.863

***

No. 3
First-principles (GGA-PBE) data for an optimized crystal structure of NdSn2, as listed in Alexandria.

Calculated values
volume	168	Å³/cell
magnetization	0.00	μB per cell
E_form	-0.640	eV/atom
density	7.543	g cm⁻³
calculated total energy	-14.69	eV per formula unit

Unit cell a=4.494 b=4.622 c=8.400 alpha=90.00 beta=105.63 gamma=90.00
Space group P2/m (No. 10)
One atom of each set of equivalent atoms:
1 Nd 0.145 0.000 0.289
2 Sn 0.000 0.500 0.000
3 Sn 0.315 0.500 0.630
4 Sn 0.500 0.000 0.000

***

No. 4
First-principles (GGA-PBE) data for an optimized crystal structure of Nd2Sn3, as listed in Alexandria.

Calculated values
volume	570	Å³/cell
magnetization	0.00	μB per cell
E_form	-0.704	eV/atom
density	7.507	g cm⁻³
energy relative to the lowest polymorph listed for this composition	0	meV per atom
calculated total energy	-25.06	eV per formula unit

Unit cell a=6.464 b=8.499 c=11.237 alpha=107.32 beta=96.79 gamma=100.17
Space group P-1 (No. 2)
One atom of each set of equivalent atoms:
1 Nd 0.040 0.247 0.443
2 Nd 0.125 0.254 0.884
3 Nd 0.332 0.532 0.244
4 Nd 0.444 0.069 0.164
5 Sn 0.046 0.854 0.880
6 Sn 0.177 0.536 0.722
7 Sn 0.222 0.905 0.364
8 Sn 0.324 0.103 0.639
9 Sn 0.357 0.665 0.999
10 Sn 0.439 0.672 0.551

***

No. 5
First-principles (GGA-PBE) data for an optimized crystal structure of NdSn, as listed in Alexandria.

Calculated values
volume	242	Å³/cell
magnetization	0.00	μB per cell
E_form	-0.773	eV/atom
density	7.222	g cm⁻³
calculated total energy	-10.32	eV per formula unit

Unit cell a=4.692 b=7.181 c=7.553 alpha=90.00 beta=108.12 gamma=90.00
Space group P2_1/m (No. 11)
One atom of each set of equivalent atoms:
1 Nd 0.044 0.250 0.088
2 Nd 0.224 0.750 0.448
3 Sn 0.395 0.042 0.790

***

No. 6
First-principles (GGA-PBE) data for an optimized crystal structure of Nd3Sn5, as listed in Alexandria.

Calculated values
volume	900	Å³/cell
magnetization	0.00	μB per cell
E_form	-0.657	eV/atom
density	7.575	g cm⁻³
energy relative to the lowest polymorph listed for this composition	0	meV per atom
calculated total energy	-39.57	eV per formula unit

Unit cell a=13.028 b=10.606 c=6.513 alpha=90.00 beta=90.00 gamma=90.00
Space group Pnma (No. 62)
One atom of each set of equivalent atoms:
1 Nd 0.057 0.250 0.130
2 Nd 0.151 0.505 0.625
3 Sn 0.001 0.750 0.396
4 Sn 0.091 0.548 0.128
5 Sn 0.229 0.750 0.890
6 Sn 0.244 0.750 0.354